[1]
# PBE-GGA RbNa5P2, relaxed
data_RbNa5P2
_chemical_formula_sum 'Rb1 Na5 P2'
_symmetry_space_group_name_H-M 'P 1'
_symmetry_Int_Tables_number 1
_cell_length_a 4.895
_cell_length_b 7.587
_cell_length_c 7.587
_cell_angle_alpha 70.72
_cell_angle_beta 71.18
_cell_angle_gamma 71.18
loop_
_symmetry_equiv_pos_as_xyz
'x,y,z'
loop_
_atom_site_label
_atom_site_fract_x
_atom_site_fract_y
_atom_site_fract_z
P1 0.244 0.256 0.256
Na1 0.695 0.482 0.128
Na2 0.000 0.500 0.500
Na3 0.305 0.518 0.872
Rb1 0.000 0.000 0.000
Na4 0.305 0.872 0.518
Na5 0.695 0.128 0.482
P2 0.756 0.744 0.744
# - Crystal system: orthorhombic

***

[2]
# PBE-GGA RbNaP, relaxed
data_RbNaP
_chemical_formula_sum 'Rb4 Na4 P4'
_symmetry_space_group_name_H-M 'P 1'
_symmetry_Int_Tables_number 1
_cell_length_a 8.038
_cell_length_b 4.965
_cell_length_c 9.535
_cell_angle_alpha 90.00
_cell_angle_beta 107.25
_cell_angle_gamma 90.00
loop_
_symmetry_equiv_pos_as_xyz
'x,y,z'
loop_
_atom_site_label
_atom_site_fract_x
_atom_site_fract_y
_atom_site_fract_z
Rb1 0.358 0.000 0.811
Na1 0.917 0.000 0.615
Na2 0.917 0.500 0.115
P1 0.138 0.000 0.085
Na3 0.083 0.500 0.885
P2 0.138 0.500 0.585
Rb2 0.642 0.000 0.189
Rb3 0.642 0.500 0.689
P3 0.862 0.000 0.915
Rb4 0.358 0.500 0.311
Na4 0.083 0.000 0.385
P4 0.862 0.500 0.415
# - Crystal system: monoclinic

***

[3]
# PBE-GGA RbNaP, relaxed
data_RbNaP
_chemical_formula_sum 'Rb2 Na2 P2'
_symmetry_space_group_name_H-M 'P 1'
_symmetry_Int_Tables_number 1
_cell_length_a 4.639
_cell_length_b 5.147
_cell_length_c 11.183
_cell_angle_alpha 81.30
_cell_angle_beta 83.66
_cell_angle_gamma 63.30
loop_
_symmetry_equiv_pos_as_xyz
'x,y,z'
loop_
_atom_site_label
_atom_site_fract_x
_atom_site_fract_y
_atom_site_fract_z
P1 0.552 0.447 0.904
P2 0.448 0.553 0.096
Na1 0.140 0.190 0.058
Rb1 0.234 0.186 0.710
Rb2 0.766 0.814 0.290
Na2 0.860 0.810 0.942
# - Crystal system: triclinic

***

[4]
# PBE-GGA RbNaP, relaxed
data_RbNaP
_chemical_formula_sum 'Rb2 Na2 P2'
_symmetry_space_group_name_H-M 'P 1'
_symmetry_Int_Tables_number 1
_cell_length_a 5.145
_cell_length_b 6.844
_cell_length_c 6.632
_cell_angle_alpha 90.00
_cell_angle_beta 90.00
_cell_angle_gamma 90.00
loop_
_symmetry_equiv_pos_as_xyz
'x,y,z'
loop_
_atom_site_label
_atom_site_fract_x
_atom_site_fract_y
_atom_site_fract_z
Na1 0.000 0.000 0.873
Rb1 0.000 0.500 0.114
P1 0.500 0.837 0.938
P2 0.500 0.163 0.938
Rb2 0.500 0.000 0.422
Na2 0.500 0.500 0.697
# - Crystal system: orthorhombic

***

[5]
# PBE-GGA RbNa2P2, relaxed
data_RbNa2P2
_chemical_formula_sum 'Rb2 Na4 P4'
_symmetry_space_group_name_H-M 'P 1'
_symmetry_Int_Tables_number 1
_cell_length_a 8.168
_cell_length_b 8.168
_cell_length_c 4.305
_cell_angle_alpha 90.00
_cell_angle_beta 90.00
_cell_angle_gamma 90.00
loop_
_symmetry_equiv_pos_as_xyz
'x,y,z'
loop_
_atom_site_label
_atom_site_fract_x
_atom_site_fract_y
_atom_site_fract_z
Rb1 0.500 0.500 0.000
Na1 0.351 0.149 0.500
P1 0.405 0.905 0.000
Na2 0.149 0.649 0.500
Na3 0.851 0.351 0.500
P2 0.095 0.405 0.000
P3 0.595 0.095 0.000
Rb2 0.000 0.000 0.000
P4 0.905 0.595 0.000
Na4 0.649 0.851 0.500
# - Crystal system: tetragonal

***

[6]
# PBE-GGA RbNa2P6, relaxed
data_RbNa2P6
_chemical_formula_sum 'Rb1 Na2 P6'
_symmetry_space_group_name_H-M 'P 1'
_symmetry_Int_Tables_number 1
_cell_length_a 5.852
_cell_length_b 5.962
_cell_length_c 9.653
_cell_angle_alpha 107.99
_cell_angle_beta 135.18
_cell_angle_gamma 90.00
loop_
_symmetry_equiv_pos_as_xyz
'x,y,z'
loop_
_atom_site_label
_atom_site_fract_x
_atom_site_fract_y
_atom_site_fract_z
P1 0.500 0.694 0.000
P2 0.268 0.131 0.632
P3 0.732 0.499 0.368
P4 0.268 0.501 0.632
P5 0.732 0.869 0.368
Rb1 0.000 0.000 0.000
Na1 0.203 0.670 0.339
Na2 0.797 0.330 0.661
P6 0.500 0.306 0.000
# - Crystal system: monoclinic

***

no.,D(E_F) (states/eV/cell),E_form (eV/f.u.)
1,1.95,-2.3
2,2.52,-0.7
3,2.98,-0.8
4,4.24,-0.6
5,5.14,-0.9
6,2.29,-1.3